(1)
## SrMnPt2 (PBE)

Data for crystalline SrMnPt2 at its relaxed geometry.

## Properties
Calculated density in g/cm3: 8.6
Magnetic moment in μB/f.u.: 0.06
Space-group type: I-42d, No. 122

Cell lengths 5.1444, 5.1444, 8.5915 Å; angles 72.58, 72.58, 90.00 degrees
Fractional coordinates of all 8 atoms:
1 Mn 0.5000 0.5000 0.0000
2 Mn 0.2500 0.7500 0.5000
3 Pt 0.8750 0.6598 0.7500
4 Pt 0.3402 0.6250 0.2500
5 Pt 0.4098 0.1250 0.2500
6 Pt 0.3750 0.5902 0.7500
7 Sr 0.7500 0.2500 0.5000
8 Sr 0.0000 0.0000 0.0000

=====

(2)
## Sr2MoAsPt (PBE)

Data for crystalline Sr2MoAsPt at its relaxed geometry.

## Properties
Calculated density in g/cm3: 5.6
Magnetic moment in μB/f.u.: 2.67
Space-group type: P4/mmm, No. 123

Cell lengths 5.7567, 4.8774, 5.7567 Å; angles 90.00, 90.00, 90.00 degrees
Fractional coordinates of all 5 atoms:
1 As 0.5000 0.5000 0.5000
2 Pt 0.0000 0.0000 0.0000
3 Sr 0.0000 0.0000 0.5000
4 Sr 0.5000 0.0000 0.0000
5 Mo 0.0000 0.5000 0.0000

=====

(3)
## AlCo2P (PBE)

Data for crystalline AlCo2P at its relaxed geometry.

## Properties
Calculated density in g/cm3: 6.3
Magnetic moment in μB/f.u.: 0.19
Energy above the lowest structure with this stoichiometry in meV per atom: 90
Space-group type: R-3m, No. 166

Cell lengths 7.4724, 7.4724, 7.4724 Å; angles 20.94, 20.94, 20.94 degrees
Fractional coordinates of all 4 atoms:
1 Co 0.5080 0.5080 0.5080
2 Co 0.9920 0.9920 0.9920
3 Al 0.7500 0.7500 0.7500
4 P 0.2500 0.2500 0.2500

=====

The evaluated DFT formation energy for the records listed, in turn: 0.040 0.206 -0.313 eV per atom.